Here is a geometry-optimized SrY2Pd structure from Alexandria. Energies are from PBE.

Unit cell a=5.3778 b=5.3778 c=5.3778 alpha=60.00 beta=60.00 gamma=60.00
Closest atoms and distances in Å follow each position.
Fractional positions:
1 Y 0.2500 0.2500 0.2500  4 Pd 3.29, 4 Sr 3.29
2 Y 0.7500 0.7500 0.7500  4 Pd 3.29, 4 Sr 3.29
3 Sr 0.0000 0.0000 0.0000  8 Y 3.29
4 Pd 0.5000 0.5000 0.5000  8 Y 3.29

DOS(E_F): 5.970 states/eV per cell
Distance to the lowest polymorph of the same formula: 354 meV/atom
Calculated density: 5.615 Mg/m³
Symmetry: Fm-3m, No. 225
Total magnetic moment: 0.001 μB per cell